No. 1
A relaxed structure of La4NiAg2, computed with PBE.

crystal system = tetragonal

a = 8.733 Å, b = 8.733 Å, c = 8.733 Å
α = 144.69°, β = 144.69°, γ = 50.80°
Positions (direct):
La (0.000, 0.500, 0.500)
La (0.187, 0.187, 0.000)
La (0.500, 0.000, 0.500)
La (0.813, 0.813, 0.000)
Ni (0.000, 0.000, 0.000)
Ag (0.377, 0.377, 0.000)
Ag (0.623, 0.623, 0.000)

No. 2
A relaxed structure of LaNi2Ag, computed with PBE.

crystal system = monoclinic

a = 3.441 Å, b = 3.495 Å, c = 6.016 Å
α = 90.00°, β = 90.20°, γ = 90.00°
Positions (direct):
La (0.000, 0.000, 0.000)
Ni (0.498, 0.500, 0.285)
Ni (0.502, 0.500, 0.715)
Ag (0.000, 0.000, 0.500)

No. 3
A relaxed structure of La4Ni3Ag, computed with PBE.

crystal system = orthorhombic

a = 3.944 Å, b = 4.660 Å, c = 10.678 Å
α = 90.00°, β = 90.00°, γ = 90.00°
Positions (direct):
La (0.000, 0.000, 0.000)
La (0.000, 0.500, 0.257)
La (0.500, 0.000, 0.463)
La (0.500, 0.500, 0.758)
Ni (0.000, 0.500, 0.538)
Ni (0.500, 0.000, 0.196)
Ni (0.500, 0.500, 0.051)
Ag (0.000, 0.000, 0.691)

No. 4
A relaxed structure of LaNi2Ag, computed with PBE.

crystal system = tetragonal

a = 3.588 Å, b = 3.588 Å, c = 5.708 Å
α = 90.00°, β = 90.00°, γ = 90.00°
Positions (direct):
La (0.000, 0.000, 0.000)
Ni (0.000, 0.000, 0.453)
Ni (0.500, 0.500, 0.223)
Ag (0.500, 0.500, 0.661)

No. 5
A relaxed structure of La3Ni7Ag2, computed with PBE.

crystal system = trigonal

a = 9.038 Å, b = 9.038 Å, c = 9.038 Å
α = 33.73°, β = 33.73°, γ = 33.73°
Positions (direct):
La (0.000, 0.000, 0.000)
La (0.138, 0.138, 0.138)
La (0.862, 0.862, 0.862)
Ni (0.088, 0.586, 0.586)
Ni (0.414, 0.414, 0.912)
Ni (0.414, 0.912, 0.414)
Ni (0.500, 0.500, 0.500)
Ni (0.586, 0.088, 0.586)
Ni (0.586, 0.586, 0.088)
Ni (0.912, 0.414, 0.414)
Ag (0.333, 0.333, 0.333)
Ag (0.667, 0.667, 0.667)

No. 6
A relaxed structure of La2NiAg, computed with PBE.

crystal system = orthorhombic

a = 6.542 Å, b = 6.542 Å, c = 6.542 Å
α = 148.09°, β = 137.99°, γ = 53.71°
Positions (direct):
La (0.000, 0.000, 0.000)
La (0.699, 0.199, 0.500)
Ni (0.219, 0.719, 0.500)
Ag (0.400, 0.400, 0.000)

No. 7
A relaxed structure of La8NiAg2, computed with PBE.

crystal system = monoclinic

a = 9.883 Å, b = 9.883 Å, c = 7.020 Å
α = 109.86°, β = 109.86°, γ = 31.61°
Positions (direct):
La (0.019, 0.019, 0.301)
La (0.204, 0.204, 0.823)
La (0.337, 0.337, 0.495)
La (0.412, 0.412, 0.052)
La (0.588, 0.588, 0.948)
La (0.663, 0.663, 0.505)
La (0.796, 0.796, 0.177)
La (0.981, 0.981, 0.699)
Ni (0.500, 0.500, 0.500)
Ag (0.169, 0.169, 0.227)
Ag (0.831, 0.831, 0.773)

No. 8
A relaxed structure of La4NiAg2, computed with PBE.

crystal system = orthorhombic

a = 5.687 Å, b = 5.687 Å, c = 17.196 Å
α = 90.00°, β = 90.00°, γ = 133.71°
Positions (direct):
La (0.000, 0.000, 0.000)
La (0.000, 0.000, 0.500)
La (0.343, 0.657, 0.647)
La (0.343, 0.657, 0.853)
La (0.374, 0.626, 0.250)
La (0.626, 0.374, 0.750)
La (0.657, 0.343, 0.147)
La (0.657, 0.343, 0.353)
Ni (0.078, 0.922, 0.250)
Ni (0.922, 0.078, 0.750)
Ag (0.308, 0.692, 0.050)
Ag (0.308, 0.692, 0.450)
Ag (0.692, 0.308, 0.550)
Ag (0.692, 0.308, 0.950)

No. 9
A relaxed structure of La2NiAg, computed with PBE.

crystal system = trigonal

a = 7.852 Å, b = 7.852 Å, c = 7.852 Å
α = 30.88°, β = 30.88°, γ = 30.88°
Positions (direct):
La (0.000, 0.000, 0.000)
La (0.194, 0.194, 0.194)
Ni (0.595, 0.595, 0.595)
Ag (0.431, 0.431, 0.431)

No. 10
A relaxed structure of LaNiAg, computed with PBE.

crystal system = orthorhombic

a = 8.811 Å, b = 8.811 Å, c = 3.952 Å
α = 90.00°, β = 90.00°, γ = 154.95°
Positions (direct):
La (0.101, 0.899, 0.750)
La (0.899, 0.101, 0.250)
Ni (0.457, 0.543, 0.750)
Ni (0.543, 0.457, 0.250)
Ag (0.290, 0.710, 0.750)
Ag (0.710, 0.290, 0.250)

No. 11
A relaxed structure of La2NiAg, computed with PBE.

crystal system = tetragonal

a = 3.655 Å, b = 3.655 Å, c = 7.509 Å
α = 90.00°, β = 90.00°, γ = 90.00°
Positions (direct):
La (0.000, 0.000, 0.223)
La (0.000, 0.000, 0.777)
Ni (0.500, 0.500, 0.000)
Ag (0.500, 0.500, 0.500)

No. 12
A relaxed structure of La2NiAg, computed with PBE.

crystal system = tetragonal

a = 6.584 Å, b = 6.584 Å, c = 6.584 Å
α = 106.31°, β = 106.31°, γ = 115.99°
Positions (direct):
La (0.081, 0.625, 0.956)
La (0.375, 0.331, 0.456)
La (0.669, 0.125, 0.044)
La (0.875, 0.919, 0.544)
Ni (0.000, 0.000, 0.000)
Ni (0.750, 0.250, 0.500)
Ag (0.250, 0.750, 0.500)
Ag (0.500, 0.500, 0.000)

One value per record, in order, for DFT formation energy: -9 4 -27 7 -24 -15 -12 -13 -20 -31 -24 -1 kJ/mol of atoms.
One value per record, in order, for raw total energy: -4.551 -4.798 -5.271 -4.763 -5.325 -4.773 -4.749 -4.592 -4.830 -4.838 -4.875 -4.635 eV per atom.
One value per record, in order, for M_tot: 0.896 0.000 0.000 0.000 0.000 0.000 0.000 0.000 0.000 0.000 0.000 0.000 μB per cell.